Record 1
The following is a PBE calculation of an optimized crystal structure of Lu2GaHg, from OQMD via LeMat-Bulk.

Output
**Energy**: -3.079 eV/atom

a b c (Å): 5.143 5.143 5.143
angles (deg): 60.00 60.00 60.00
Atoms (fractional coordinates):
1 Ga 0.500 0.500 0.500
2 Hg 0.250 0.250 0.250
3 Lu 0.000 0.000 0.000
4 Lu 0.750 0.750 0.750


Record 2
The following is a PBE calculation of an optimized crystal structure of LuGaHg, from OQMD via LeMat-Bulk.

Output
**Energy**: -2.957 eV/atom

a b c (Å): 4.636 4.636 4.636
angles (deg): 60.00 60.00 60.00
Atoms (fractional coordinates):
1 Lu 0.750 0.750 0.750
2 Hg 0.250 0.250 0.250
3 Ga 0.000 0.000 0.000